Crystalline Rb3NaCu2P2 at its relaxed geometry, computed with PBE.

As for the electronic total energy: -3.08 eV/atom. The mass density is 3.57 g/cm³.

The space group is Pm (No. 6) and the conventional cell measures 6.271, 5.749 and 6.272 Å, with angles of 90.00, 105.65 and 90.00 degrees. Symmetry generates all atoms from Rb at (0.000, 0.000, 0.000), Rb at (0.074, 0.500, 0.373), Rb at (0.354, 0.000, 0.674), Na at (0.685, 0.500, 0.666), Cu at (0.553, 0.244, 0.204), P at (0.362, 0.500, 0.957) and P at (0.775, 0.000, 0.445).